Entry 1:
## KH5Ir (GGA-PBE)

Data for a relaxed KH5Ir crystal.

Cell lengths 8.121, 10.742, 5.588 Å; angles 90.00, 132.54, 90.00 degrees
Space group C2/c (No. 15)
Inequivalent atoms, fractional coordinates:
K (0.000, 0.154, 0.250) (multiplicity 4)
H (0.000, 0.391, 0.250) (multiplicity 4)
H (0.137, 0.423, 0.883) (multiplicity 8)
H (0.221, 0.003, 0.726) (multiplicity 8)
Ir (0.000, 0.500, 0.000) (multiplicity 4)

Entry 2:
## K3H6Ir (GGA-PBE)

Data for a relaxed K3H6Ir crystal.

Cell lengths 8.337, 8.337, 8.337 Å; angles 90.00, 90.00, 90.00 degrees
Space group Fm-3m (No. 225)
Inequivalent atoms, fractional coordinates:
K (0.000, 0.000, 0.000) (multiplicity 4)
K (0.250, 0.250, 0.250) (multiplicity 8)
H (0.000, 0.000, 0.298) (multiplicity 24)
Ir (0.000, 0.000, 0.500) (multiplicity 4)

Entry 3:
## KH4Ir (GGA-PBE)

Data for a relaxed KH4Ir crystal.

Cell lengths 6.708, 10.114, 5.404 Å; angles 90.00, 111.28, 90.00 degrees
Space group C2/c (No. 15)
Inequivalent atoms, fractional coordinates:
K (0.000, 0.152, 0.250) (multiplicity 4)
H (0.009, 0.388, 0.000) (multiplicity 8)
H (0.232, 0.006, 0.627) (multiplicity 8)
Ir (0.000, 0.497, 0.250) (multiplicity 4)

Entry 4:
## KH4Ir (GGA-PBE)

Data for a relaxed KH4Ir crystal.

Cell lengths 5.758, 4.581, 4.591 Å; angles 90.00, 90.20, 90.00 degrees
Space group P2_1/c (No. 14)
Inequivalent atoms, fractional coordinates:
K (0.000, 0.000, 0.000) (multiplicity 2)
H (0.210, 0.023, 0.495) (multiplicity 4)
H (0.427, 0.677, 0.322) (multiplicity 4)
Ir (0.500, 0.000, 0.500) (multiplicity 2)

Entry 5:
## KMgH6Ir (GGA-PBE)

Data for a relaxed KMgH6Ir crystal.

Cell lengths 4.7711, 4.7711, 5.7558 Å; angles 90.00, 90.00, 120.00 degrees
Space group P312 (No. 149)
Inequivalent atoms, fractional coordinates:
K (0.0000, 0.0000, 0.0000) (multiplicity 1)
Mg (0.3333, 0.6667, 0.5000) (multiplicity 1)
H (0.3888, 0.0605, 0.6805) (multiplicity 6)
Ir (0.6667, 0.3333, 0.5000) (multiplicity 1)

Entry 6:
## KNaH6Ir (GGA-PBE)

Data for a relaxed KNaH6Ir crystal.

Cell lengths 3.942, 5.612, 5.735 Å; angles 77.47, 89.68, 69.79 degrees
Space group P1 (No. 1)
Inequivalent atoms, fractional coordinates:
K (0.000, 0.000, 0.000) (multiplicity 1)
Na (0.285, 0.435, 0.464) (multiplicity 1)
H (0.004, 0.894, 0.502) (multiplicity 1)
H (0.446, 0.098, 0.287) (multiplicity 1)
H (0.459, 0.648, 0.733) (multiplicity 1)
H (0.476, 0.053, 0.716) (multiplicity 1)
H (0.679, 0.650, 0.336) (multiplicity 1)
H (0.889, 0.640, 0.739) (multiplicity 1)
Ir (0.585, 0.847, 0.532) (multiplicity 1)

Entry 7:
## KNiH6Ir (GGA-PBE)

Data for a relaxed KNiH6Ir crystal.

Cell lengths 4.5722, 4.5722, 5.7358 Å; angles 90.00, 90.00, 120.00 degrees
Space group P312 (No. 149)
Inequivalent atoms, fractional coordinates:
K (0.0000, 0.0000, 0.0000) (multiplicity 1)
Ni (0.3333, 0.6667, 0.5000) (multiplicity 1)
H (0.3737, 0.0109, 0.6662) (multiplicity 6)
Ir (0.6667, 0.3333, 0.5000) (multiplicity 1)

Entry 8:
## K2H6IrPb (GGA-PBE)

Data for a relaxed K2H6IrPb crystal.

Cell lengths 5.6877, 5.6877, 6.3552 Å; angles 90.00, 90.00, 120.00 degrees
Space group P-3m1 (No. 164)
Inequivalent atoms, fractional coordinates:
K (0.3333, 0.6667, 0.1561) (multiplicity 2)
H (0.1390, 0.2780, 0.8425) (multiplicity 6)
Ir (0.0000, 0.0000, 0.0000) (multiplicity 1)
Pb (0.0000, 0.0000, 0.5000) (multiplicity 1)

Entry 9:
## KH6IrPb (GGA-PBE)

Data for a relaxed KH6IrPb crystal.

Cell lengths 8.849, 5.109, 5.175 Å; angles 90.00, 90.06, 90.00 degrees
Space group Cm (No. 8)
Inequivalent atoms, fractional coordinates:
K (0.000, 0.000, 0.000) (multiplicity 2)
H (0.019, 0.500, 0.159) (multiplicity 2)
H (0.088, 0.261, 0.541) (multiplicity 4)
H (0.241, 0.278, 0.157) (multiplicity 4)
H (0.327, 0.500, 0.539) (multiplicity 2)
Ir (0.167, 0.500, 0.364) (multiplicity 2)
Pb (0.334, 0.000, 0.531) (multiplicity 2)

Entry 10:
## KH6IrPd (GGA-PBE)

Data for a relaxed KH6IrPd crystal.

Cell lengths 4.487, 5.322, 8.515 Å; angles 90.00, 90.00, 90.00 degrees
Space group Amm2 (No. 38)
Inequivalent atoms, fractional coordinates:
K (0.000, 0.000, 0.000) (multiplicity 2)
H (0.279, 0.000, 0.494) (multiplicity 4)
H (0.500, 0.169, 0.162) (multiplicity 4)
H (0.500, 0.191, 0.876) (multiplicity 4)
Ir (0.500, 0.000, 0.336) (multiplicity 2)
Pd (0.500, 0.000, 0.683) (multiplicity 2)

Entry 11:
## K2H6IrPd (GGA-PBE)

Data for a relaxed K2H6IrPd crystal.

Cell lengths 5.6284, 5.6284, 5.3277 Å; angles 90.00, 90.00, 120.00 degrees
Space group P-3m1 (No. 164)
Inequivalent atoms, fractional coordinates:
K (0.3333, 0.6667, 0.2280) (multiplicity 2)
H (0.1292, 0.2584, 0.7777) (multiplicity 6)
Ir (0.0000, 0.0000, 0.0000) (multiplicity 1)
Pd (0.0000, 0.0000, 0.5000) (multiplicity 1)

Entry 12:
## KHIrRh2 (GGA-PBE)

Data for a relaxed KHIrRh2 crystal.

Cell lengths 4.222, 4.222, 3.957 Å; angles 90.00, 90.00, 90.00 degrees
Space group P4/mmm (No. 123)
Inequivalent atoms, fractional coordinates:
K (0.000, 0.000, 0.000) (multiplicity 1)
H (0.500, 0.500, 0.500) (multiplicity 1)
Ir (0.500, 0.500, 0.000) (multiplicity 1)
Rh (0.000, 0.500, 0.500) (multiplicity 2)

Entry 13:
## KH2IrRu (GGA-PBE)

Data for a relaxed KH2IrRu crystal.

Cell lengths 3.627, 3.627, 6.537 Å; angles 90.00, 90.00, 90.00 degrees
Space group P4/mmm (No. 123)
Inequivalent atoms, fractional coordinates:
K (0.000, 0.000, 0.000) (multiplicity 1)
H (0.000, 0.500, 0.000) (multiplicity 2)
Ir (0.000, 0.000, 0.500) (multiplicity 1)
Ru (0.500, 0.500, 0.500) (multiplicity 1)

Entry 14:
## KSnH2Ir (GGA-PBE)

Data for a relaxed KSnH2Ir crystal.

Cell lengths 3.845, 3.845, 7.269 Å; angles 90.00, 90.00, 90.00 degrees
Space group P4/mmm (No. 123)
Inequivalent atoms, fractional coordinates:
K (0.000, 0.000, 0.000) (multiplicity 1)
Sn (0.000, 0.000, 0.500) (multiplicity 1)
H (0.000, 0.500, 0.000) (multiplicity 2)
Ir (0.500, 0.500, 0.500) (multiplicity 1)

Entry 15:
## K2SrH6Ir (GGA-PBE)

Data for a relaxed K2SrH6Ir crystal.

Cell lengths 5.8766, 5.8766, 6.3013 Å; angles 90.00, 90.00, 120.00 degrees
Space group P-3m1 (No. 164)
Inequivalent atoms, fractional coordinates:
K (0.3333, 0.6667, 0.3784) (multiplicity 2)
Sr (0.0000, 0.0000, 0.0000) (multiplicity 1)
H (0.1348, 0.2696, 0.6578) (multiplicity 6)
Ir (0.0000, 0.0000, 0.5000) (multiplicity 1)

Entry 16:
## K2VHIr (GGA-PBE)

Data for a relaxed K2VHIr crystal.

Cell lengths 6.405, 6.405, 3.284 Å; angles 90.00, 90.00, 90.00 degrees
Space group P4/mmm (No. 123)
Inequivalent atoms, fractional coordinates:
K (0.000, 0.500, 0.000) (multiplicity 2)
V (0.000, 0.000, 0.500) (multiplicity 1)
H (0.500, 0.500, 0.500) (multiplicity 1)
Ir (0.500, 0.500, 0.000) (multiplicity 1)

Entry 17:
## KZn2HIr (GGA-PBE)

Data for a relaxed KZn2HIr crystal.

Cell lengths 4.887, 4.887, 3.439 Å; angles 90.00, 90.00, 90.00 degrees
Space group P4/mmm (No. 123)
Inequivalent atoms, fractional coordinates:
K (0.000, 0.000, 0.000) (multiplicity 1)
Zn (0.000, 0.500, 0.500) (multiplicity 2)
H (0.500, 0.500, 0.500) (multiplicity 1)
Ir (0.500, 0.500, 0.000) (multiplicity 1)

Entry 18:
## KZnH6Ir (GGA-PBE)

Data for a relaxed KZnH6Ir crystal.

Cell lengths 4.6236, 4.6236, 5.8381 Å; angles 90.00, 90.00, 120.00 degrees
Space group P312 (No. 149)
Inequivalent atoms, fractional coordinates:
K (0.0000, 0.0000, 0.0000) (multiplicity 1)
Zn (0.3333, 0.6667, 0.5000) (multiplicity 1)
H (0.3739, 0.0510, 0.6740) (multiplicity 6)
Ir (0.6667, 0.3333, 0.5000) (multiplicity 1)

Entry 19:
## LaHIr3 (GGA-PBE)

Data for a relaxed LaHIr3 crystal.

Cell lengths 5.039, 5.039, 5.039 Å; angles 90.00, 90.00, 90.00 degrees
Space group Pm-3m (No. 221)
Inequivalent atoms, fractional coordinates:
La (0.000, 0.000, 0.000) (multiplicity 1)
H (0.500, 0.500, 0.500) (multiplicity 1)
Ir (0.000, 0.000, 0.500) (multiplicity 3)

Entry 20:
## LaH4Ir (GGA-PBE)

Data for a relaxed LaH4Ir crystal.

Cell lengths 3.940, 12.421, 5.096 Å; angles 90.00, 90.00, 90.00 degrees
Space group Cmcm (No. 63)
Inequivalent atoms, fractional coordinates:
La (0.000, 0.129, 0.250) (multiplicity 4)
H (0.000, 0.100, 0.750) (multiplicity 4)
H (0.000, 0.305, 0.502) (multiplicity 8)
H (0.000, 0.500, 0.000) (multiplicity 4)
Ir (0.000, 0.396, 0.250) (multiplicity 4)

DFT total energy? In order: -108.1; -144.4; -96.2; -48.3; -35.0; -33.6; -36.5; -36.5; -70.4; -72.4; -38.8; -24.4; -16.9; -14.7; -36.8; -17.9; -13.5; -33.5; -22.1; -120.7 eV for the cell shown.